A plane-wave DFT calculation with PBE-GGA was carried out for a relaxed structure of SmTiPt3.

```
SmTiPt3
1.0
5.897 0.000 0.000
0.000 6.273 0.001
0.000 -3.136 5.431
Sm Ti Pt
2 2 6
Cartesian
4.422 3.137 1.811
1.475 0.000 3.621
0.000 6.273 0.001
2.948 6.273 0.001
4.423 1.347 4.399
1.474 3.137 3.365
1.474 1.790 1.034
4.423 0.000 2.067
1.474 4.483 1.034
4.423 -1.346 4.398
```

Values from the calculation:
Formation energy ... -0.90 eV/atom
Volume ... 20.1 Å³/atom
Crystal system ... hexagonal
Symmetry ... No. 194
Total magnetization ... 0.0 μB per formula unit